[1]
Ac3Ni4Ru2: relaxed, PBE.

a = 4.174 Å, b = 4.174 Å, c = 25.969 Å
α = 90.00°, β = 90.00°, γ = 120.00°
Fractional positions:
Ni 0.667 0.333 0.503
Ni 0.667 0.333 0.339
Ru 0.000 0.000 0.175
Ac 0.333 0.667 0.258
Ac 0.333 0.667 0.075
Ac 0.333 0.667 0.912
Ni 0.000 0.000 0.667
Ac 0.333 0.667 0.749
Ac 0.333 0.667 0.421
Ni 0.000 0.000 0.339
Ni 0.667 0.333 0.994
Ru 0.000 0.000 0.503
Ni 0.000 0.000 0.995
Ni 0.667 0.333 0.667
Ac 0.333 0.667 0.585
Ru 0.000 0.000 0.831
Ni 0.667 0.333 0.831
Ru 0.667 0.333 0.158

Properties
Symmetry = P3m1 (156)
Density of states at the Fermi level = 1.276 states/eV per atom
Formation energy from the elements = -0.1611 eV/atom

[2]
TmFe4Ir: relaxed, PBE.

a = 4.937 Å, b = 4.937 Å, c = 4.937 Å
α = 60.00°, β = 60.00°, γ = 60.00°
Last column: magnetic moment on the atom in μB.
Fractional positions:
Fe 0.624 0.624 0.624  2.48
Fe 0.127 0.624 0.624  2.48
Fe 0.624 0.624 0.127  2.48
Tm 0.000 0.000 0.000  -0.29
Fe 0.624 0.127 0.624  2.48
Ir 0.250 0.250 0.250  0.69

Properties
Symmetry = F-43m (216)
Density of states at the Fermi level = 0.854 states/eV per atom
Formation energy from the elements = -0.1392 eV/atom

[3]
Rb2NaCd3Hg12: relaxed, PBE.

a = 8.306 Å, b = 8.306 Å, c = 8.306 Å
α = 84.51°, β = 84.51°, γ = 84.51°
Fractional positions:
Hg 0.124 0.593 0.593
Rb 0.300 0.300 0.300
Rb 0.700 0.700 0.700
Hg 0.407 0.876 0.407
Cd 0.000 0.000 0.500
Hg 0.593 0.124 0.593
Na 0.000 0.000 0.000
Hg 0.593 0.593 0.124
Hg 0.195 0.721 0.195
Hg 0.805 0.805 0.279
Hg 0.876 0.407 0.407
Hg 0.805 0.279 0.805
Hg 0.195 0.195 0.721
Cd 0.000 0.500 0.000
Hg 0.279 0.805 0.805
Cd 0.500 0.000 0.000
Hg 0.721 0.195 0.195
Hg 0.407 0.407 0.876

Properties
Symmetry = R-3m (166)
Density of states at the Fermi level = 0.385 states/eV per atom
Formation energy from the elements = -0.0727 eV/atom

[4]
Sm2Y6ErTm: relaxed, PBE.

a = 9.699 Å, b = 8.767 Å, c = 8.767 Å
α = 117.78°, β = 94.80°, γ = 94.80°
Fractional positions:
Sm 0.545 0.195 0.296
Y 0.686 0.017 0.574
Y 0.314 0.983 0.426
Tm 0.750 0.593 0.407
Y 0.057 0.124 0.750
Y 0.943 0.876 0.250
Y 0.882 0.293 0.502
Tm 0.250 0.407 0.593
Er 0.750 0.020 0.980
Y 0.557 0.750 0.124
Er 0.250 0.980 0.020
Sm 0.045 0.296 0.195
Y 0.443 0.250 0.876
Y 0.814 0.426 0.983
Sm 0.455 0.805 0.704
Sm 0.955 0.704 0.805
Y 0.618 0.498 0.707
Y 0.186 0.574 0.017
Y 0.118 0.707 0.498
Y 0.382 0.502 0.293

Properties
Symmetry = C2/c (15)
Density of states at the Fermi level = 1.398 states/eV per atom
Formation energy from the elements = 0.1137 eV/atom

[5]
TmCoAs2: relaxed, PBE.

a = 3.841 Å, b = 3.841 Å, c = 6.002 Å
α = 71.34°, β = 71.34°, γ = 60.00°
Fractional positions:
Co 0.000 0.000 0.000
Tm 0.500 0.500 0.500
As 0.729 0.729 0.814
As 0.271 0.271 0.186

Properties
Symmetry = R-3m (166)
Density of states at the Fermi level = 0.240 states/eV per atom
Formation energy from the elements = -0.6803 eV/atom

[6]
ScAl2Tc: relaxed, PBE.

a = 6.732 Å, b = 6.732 Å, c = 6.732 Å
α = 45.77°, β = 155.10°, γ = 142.23°
Fractional positions:
Al 0.000 0.297 0.297
Al 0.000 0.703 0.703
Sc 0.000 0.000 0.000
Tc 0.000 0.500 0.500

Properties
Distance to the lowest polymorph of the same formula = 626.7 meV per atom
Symmetry = Immm (71)
Density of states at the Fermi level = 0.597 states/eV per atom
Formation energy from the elements = 0.2127 eV/atom

[7]
RbSrNi2Pd: relaxed, PBE.

a = 5.356 Å, b = 5.511 Å, c = 5.356 Å
α = 90.00°, β = 90.00°, γ = 90.00°
Fractional positions:
Ni 0.000 0.000 0.500
Sr 0.000 0.000 0.000
Rb 0.500 0.500 0.500
Ni 0.500 0.000 0.000
Pd 0.000 0.500 0.000

Properties
Symmetry = P4/mmm (123)
Density of states at the Fermi level = 1.305 states/eV per atom
Formation energy from the elements = 1.1058 eV/atom

[8]
HfAl2AsW: relaxed, PBE.

a = 5.167 Å, b = 4.818 Å, c = 5.167 Å
α = 90.00°, β = 90.00°, γ = 90.00°
Fractional positions:
As 0.500 0.500 0.500
W 0.000 0.500 0.000
Al 0.000 0.000 0.500
Al 0.500 0.000 0.000
Hf 0.000 0.000 0.000

Properties
Symmetry = P4/mmm (123)
Density of states at the Fermi level = 1.057 states/eV per atom
Formation energy from the elements = 1.6340 eV/atom

[9]
PmPr3YEr: relaxed, PBE.

a = 5.873 Å, b = 10.873 Å, c = 6.786 Å
α = 91.78°, β = 90.00°, γ = 105.67°
Fractional positions:
Pr 0.221 0.441 0.283
Er 0.639 0.279 0.484
Pr 0.483 0.966 0.245
Pr 0.160 0.319 0.766
Pr 0.840 0.681 0.234
Y 0.060 0.121 0.259
Y 0.940 0.879 0.741
Pr 0.779 0.559 0.717
Er 0.361 0.721 0.516
Pm 0.350 0.701 0.972
Pm 0.650 0.299 0.028
Pr 0.517 0.034 0.755

Properties
Symmetry = C2/m (12)
Density of states at the Fermi level = 1.365 states/eV per atom
Formation energy from the elements = 0.1737 eV/atom

[10]
Er2SnTe5: relaxed, PBE.

a = 6.189 Å, b = 8.079 Å, c = 13.802 Å
α = 90.00°, β = 90.00°, γ = 112.52°
Fractional positions:
Te 0.967 0.935 0.900
Te 0.033 0.065 0.100
Te 0.274 0.548 0.750
Te 0.726 0.452 0.250
Te 0.679 0.359 0.580
Er 0.832 0.664 0.066
Te 0.967 0.935 0.600
Er 0.168 0.336 0.566
Sn 0.804 0.607 0.750
Te 0.321 0.641 0.420
Sn 0.196 0.393 0.250
Te 0.033 0.065 0.400
Er 0.832 0.664 0.434
Te 0.679 0.359 0.920
Er 0.168 0.336 0.934
Te 0.321 0.641 0.080

Properties
Symmetry = Cmcm (63)
Formation energy without anion corrections = -0.83 eV per atom

[11]
DyEr2Zr: relaxed, PBE.

a = 3.449 Å, b = 5.977 Å, c = 11.285 Å
α = 84.98°, β = 98.75°, γ = 89.98°
Fractional positions:
Dy 0.043 0.440 0.572
Er 0.175 0.729 0.836
Er 0.675 0.229 0.834
Er 0.911 0.150 0.308
Zr 0.291 0.353 0.069
Dy 0.544 0.940 0.573
Er 0.410 0.650 0.306
Zr 0.791 0.860 0.070

Properties
Distance to the lowest polymorph of the same formula = 0.0 meV per atom
Symmetry = Cm (8)
Density of states at the Fermi level = 1.410 states/eV per atom
Formation energy from the elements = 0.0528 eV/atom

[12]
Pa6PS5: relaxed, PBE.

a = 6.894 Å, b = 6.503 Å, c = 6.863 Å
α = 61.72°, β = 80.10°, γ = 68.73°
Fractional positions:
Pa 0.251 0.581 0.334
Pa 0.749 0.419 0.666
P 0.000 0.000 0.000
Pa 0.751 0.748 0.000
Pa 0.249 0.252 0.000
S 0.000 0.333 0.334
Pa 0.251 0.915 0.666
S 0.500 0.500 0.000
S 0.500 0.165 0.670
S 0.000 0.667 0.666
S 0.500 0.835 0.330
Pa 0.749 0.085 0.334

Properties
Symmetry = C2/m (12)
Density of states at the Fermi level = 1.576 states/eV per atom
Formation energy without anion corrections = -1.56 eV per atom

[13]
Gd3MnN: relaxed, PBE.

a = 4.864 Å, b = 4.864 Å, c = 4.864 Å
α = 90.00°, β = 90.00°, γ = 90.00°
Last column: magnetic moment on the atom in μB.
Fractional positions:
Gd 0.000 0.000 0.500  7.04
N 0.000 0.000 0.000  -0.07
Gd 0.500 0.000 0.000  7.04
Mn 0.500 0.500 0.500  3.95
Gd 0.000 0.500 0.000  7.04

Properties
Symmetry = Pm-3m (221)
Density of states at the Fermi level = 1.111 states/eV per atom
Formation energy without anion corrections = -0.44 eV per atom

[14]
CaTh2As3: relaxed, PBE.

a = 4.270 Å, b = 6.011 Å, c = 7.366 Å
α = 114.08°, β = 106.85°, γ = 90.00°
Fractional positions:
Ca 0.500 0.500 0.500
As 0.831 0.331 0.162
As 0.169 0.669 0.838
Th 0.166 0.166 0.831
As 0.500 0.000 0.500
Th 0.834 0.834 0.169

Properties
Symmetry = Immm (71)
Density of states at the Fermi level = 0.384 states/eV per atom
Formation energy from the elements = -1.3760 eV/atom

[15]
PmIn2Hg6: relaxed, PBE.

a = 4.861 Å, b = 6.568 Å, c = 8.476 Å
α = 67.21°, β = 81.87°, γ = 68.60°
Fractional positions:
Hg 0.826 0.162 0.831
In 0.500 0.161 0.177
Hg 0.174 0.838 0.169
Hg 0.322 0.350 0.500
Hg 0.678 0.650 0.500
In 0.500 0.839 0.823
Hg 0.174 0.507 0.831
Hg 0.826 0.493 0.169
Pm 0.000 0.000 0.500

Properties
Symmetry = C2/m (12)
Density of states at the Fermi level = 0.495 states/eV per atom
Formation energy from the elements = -0.1557 eV/atom

[16]
Ce2Ga3Pt4Au: relaxed, PBE.

a = 4.078 Å, b = 4.078 Å, c = 11.746 Å
α = 90.00°, β = 90.00°, γ = 90.00°
Last column: magnetic moment on the atom in μB.
Fractional positions:
Ga 0.500 0.000 0.873  0.00
Ga 0.000 0.500 0.127  0.00
Au 0.500 0.500 0.500  0.00
Pt 0.000 0.500 0.336  -0.03
Pt 0.000 0.000 0.000  0.00
Pt 0.500 0.500 0.000  0.00
Pt 0.500 0.000 0.664  -0.03
Ce 0.000 0.500 0.743  0.55
Ga 0.000 0.000 0.500  0.00
Ce 0.500 0.000 0.257  0.55

Properties
Symmetry = P-4m2 (115)
Density of states at the Fermi level = 1.055 states/eV per atom
Formation energy from the elements = -0.8635 eV/atom

[17]
Pa6GeC: relaxed, PBE.

a = 5.574 Å, b = 6.892 Å, c = 5.826 Å
α = 75.13°, β = 79.42°, γ = 56.05°
Fractional positions:
Pa 0.519 0.257 0.134
Pa 0.201 0.043 0.302
Ge 0.500 0.500 0.500
Pa 0.481 0.743 0.866
C 0.000 0.000 0.000
Pa 0.961 0.654 0.251
Pa 0.799 0.957 0.698
Pa 0.039 0.346 0.749

Properties
Symmetry = P-1 (2)
Density of states at the Fermi level = 1.975 states/eV per atom
Formation energy from the elements = -0.0409 eV/atom

[18]
SbTe2Pb: relaxed, PBE.

a = 3.521 Å, b = 3.521 Å, c = 10.463 Å
α = 90.00°, β = 90.00°, γ = 113.14°
Fractional positions:
Pb 0.500 0.500 0.250
Te 0.000 0.000 0.986
Te 0.000 0.000 0.514
Sb 0.500 0.500 0.750

Properties
Symmetry = Cmmm (65)
Density of states at the Fermi level = 0.736 states/eV per atom
Formation energy without anion corrections = 0.14 eV per atom

[19]
Ge3Pt2S3: relaxed, PBE.

a = 8.595 Å, b = 8.595 Å, c = 8.595 Å
α = 90.33°, β = 90.33°, γ = 89.67°
Fractional positions:
S 0.359 0.142 0.504
S 0.496 0.359 0.858
S 0.142 0.641 0.004
S 0.504 0.641 0.142
Pt 0.247 0.247 0.753
S 0.858 0.504 0.359
S 0.641 0.858 0.496
Ge 0.002 0.862 0.349
Ge 0.138 0.349 0.002
Pt 0.257 0.748 0.753
Pt 0.247 0.257 0.252
Ge 0.349 0.998 0.862
S 0.858 0.359 0.996
Ge 0.651 0.002 0.138
Ge 0.998 0.138 0.651
Ge 0.152 0.505 0.360
Ge 0.640 0.152 0.495
Pt 0.753 0.753 0.247
Pt 0.753 0.743 0.748
Ge 0.862 0.651 0.998
S 0.996 0.142 0.359
Ge 0.505 0.640 0.848
Pt 0.743 0.252 0.247
Pt 0.252 0.753 0.257
S 0.004 0.858 0.641
Ge 0.495 0.360 0.152
Pt 0.748 0.247 0.743
Ge 0.848 0.495 0.640
S 0.142 0.496 0.641
S 0.641 0.996 0.858
S 0.359 0.004 0.142
Ge 0.360 0.848 0.505

Properties
Symmetry = R-3 (148)
Density of states at the Fermi level = 0.609 states/eV per atom
Formation energy without anion corrections = -0.38 eV per atom

[20]
SrLiTa: relaxed, PBE.

a = 24.425 Å, b = 12.279 Å, c = 12.279 Å
α = 160.52°, β = 167.35°, γ = 12.65°
Fractional positions:
Li 0.023 0.062 0.938
Sr 0.020 0.433 0.567
Sr 0.516 0.293 0.707
Ta 0.530 0.661 0.339
Ta 0.028 0.650 0.350
Li 0.524 0.058 0.942

Properties
Distance to the lowest polymorph of the same formula = 101.7 meV per atom
Symmetry = Cm (8)
Density of states at the Fermi level = 0.904 states/eV per atom
Formation energy from the elements = 0.4747 eV/atom

no.,theoretical density (Mg/m³)
1,9.474
2,11.406
3,8.625
4,5.972
5,8.803
6,4.168
7,4.168
8,6.341
9,6.561
10,5.684
11,8.530
12,10.374
13,7.802
14,7.395
15,11.282
16,12.469
17,13.629
18,8.132
19,7.368
20,5.281